# 1
{
  "formula": "Pr3Mg3Tl2Cd",
  "functional": "PBE",
  "state": "relaxed",
  "cell": [[4.7794, 0.0000, 0.0000], [0.0000, 6.7247, 3.8737], [0.0000, -6.7247, 3.8737]],
  "species": ["Pr", "Pr", "Pr", "Mg", "Mg", "Mg", "Tl", "Tl", "Cd"],
  "frac_coords": [[0.0000, 0.0000, 0.0000], [0.0000, 0.4213, 0.8425], [0.0000, 0.8425, 0.4213], [0.5000, 0.1833, 0.4217], [0.5000, 0.4217, 0.1833], [0.5000, 0.6598, 0.6598], [0.5000, 0.0885, 0.7538], [0.5000, 0.7538, 0.0885], [0.0000, 0.4227, 0.4227]],
  "spacegroup": "No. 38",
  "energy_ev_per_atom": -3.085,
  "m_tot_mub_per_cell": 0.03
}

***

# 2
{
  "formula": "Ni4SnC2S",
  "functional": "PBE",
  "state": "relaxed",
  "cell": [[3.1322, 0.0000, 0.0000], [-1.5661, 2.7126, 0.0000], [0.0000, 0.0000, 11.4213]],
  "species": ["Ni", "Ni", "Ni", "Ni", "Sn", "C", "C", "S"],
  "frac_coords": [[0.0000, 0.0000, 0.1469], [0.0000, 0.0000, 0.8531], [0.6667, 0.3333, 0.2994], [0.6667, 0.3333, 0.7006], [0.0000, 0.0000, 0.5000], [0.3333, 0.6667, 0.2304], [0.3333, 0.6667, 0.7696], [0.6667, 0.3333, 0.0000]],
  "spacegroup": "No. 187",
  "energy_ev_per_atom": -5.714,
  "m_tot_mub_per_cell": 0.01
}